No. 1
# MnInS3 (PBE, optimized geometry)
data_MnInS3
_chemical_formula_sum 'Mn1 In1 S3'
_cell_length_a 4.614
_cell_length_b 4.614
_cell_length_c 4.614
_cell_angle_alpha 90.00
_cell_angle_beta 90.00
_cell_angle_gamma 90.00
_space_group_name_H-M_alt 'P 1'
_space_group_IT_number 1
_space_group_name_Hall 'P 1'
loop_
_atom_site_label
_atom_site_fract_x
_atom_site_fract_y
_atom_site_fract_z
S1 0.000 0.000 0.500
S2 0.500 0.000 0.000
S3 0.000 0.500 0.000
Mn1 0.000 0.000 0.000
In1 0.500 0.500 0.500
# - Space-group type: Pm-3m, No. 221
# - Crystal system: cubic
# - Uncorrected formation energy: -0.0670 eV/atom
# - Offset from the most stable computed form: 37.1 kJ per mole of atoms
# - DOS at the Fermi energy: 3.81 states/eV/f.u.



No. 2
# CeCrAs3 (PBE, optimized geometry)
data_CeCrAs3
_chemical_formula_sum 'Ce4 Cr4 As12'
_cell_length_a 5.629
_cell_length_b 5.712
_cell_length_c 12.223
_cell_angle_alpha 90.00
_cell_angle_beta 90.00
_cell_angle_gamma 90.00
_space_group_name_H-M_alt 'P 1'
_space_group_IT_number 1
_space_group_name_Hall 'P 1'
loop_
_atom_site_label
_atom_site_fract_x
_atom_site_fract_y
_atom_site_fract_z
As1 0.750 0.489 0.218
As2 0.750 0.989 0.782
As3 0.250 0.605 0.068
As4 0.250 0.105 0.932
As5 0.250 0.011 0.218
As6 0.500 0.750 0.501
As7 0.750 0.395 0.932
As8 0.250 0.511 0.782
As9 0.500 0.250 0.499
As10 0.000 0.250 0.499
As11 0.750 0.895 0.068
As12 0.000 0.750 0.501
Ce1 0.750 0.994 0.309
Ce2 0.750 0.494 0.691
Ce3 0.250 0.506 0.309
Ce4 0.250 0.006 0.691
Cr1 0.500 0.250 0.085
Cr2 0.500 0.750 0.915
Cr3 0.000 0.750 0.915
Cr4 0.000 0.250 0.085
# - Space-group type: Pbcm, No. 57
# - Crystal system: orthorhombic
# - Energy of formation from the pure elements: -3.4 eV per formula unit
# - DOS at the Fermi energy: 4.84 states/eV/f.u.



No. 3
# La3Zn3Cu (PBE, optimized geometry)
data_La3Zn3Cu
_chemical_formula_sum 'La3 Zn3 Cu1'
_cell_length_a 4.594
_cell_length_b 3.750
_cell_length_c 10.475
_cell_angle_alpha 100.31
_cell_angle_beta 102.67
_cell_angle_gamma 90.00
_space_group_name_H-M_alt 'P 1'
_space_group_IT_number 1
_space_group_name_Hall 'P 1'
loop_
_atom_site_label
_atom_site_fract_x
_atom_site_fract_y
_atom_site_fract_z
Zn1 0.563 0.563 0.127
Zn2 0.135 0.635 0.270
Zn3 0.865 0.365 0.731
La1 0.314 0.814 0.627
La2 0.691 0.191 0.381
La3 0.997 0.997 0.994
Cu1 0.435 0.435 0.870
# - Space-group type: Imm2, No. 44
# - Crystal system: orthorhombic
# - Energy of formation from the pure elements: -1.9 eV per formula unit
# - DOS at the Fermi energy: 6.53 states/eV/f.u.



No. 4
# La2TeO3 (PBE, optimized geometry)
data_La2TeO3
_chemical_formula_sum 'La4 Te2 O6'
_cell_length_a 4.170
_cell_length_b 6.973
_cell_length_c 10.295
_cell_angle_alpha 118.09
_cell_angle_beta 90.00
_cell_angle_gamma 107.40
_space_group_name_H-M_alt 'P 1'
_space_group_IT_number 1
_space_group_name_Hall 'P 1'
loop_
_atom_site_label
_atom_site_fract_x
_atom_site_fract_y
_atom_site_fract_z
La1 0.531 0.063 0.774
La2 0.165 0.330 0.569
La3 0.835 0.670 0.431
La4 0.469 0.937 0.226
O1 0.298 0.597 0.263
O2 0.348 0.696 0.575
O3 0.652 0.304 0.425
O4 0.022 0.043 0.658
O5 0.702 0.403 0.737
O6 0.978 0.957 0.342
Te1 0.866 0.732 0.919
Te2 0.134 0.268 0.081
# - Space-group type: C2/m, No. 12
# - Crystal system: monoclinic
# - Uncorrected formation energy: -2.7838 eV/atom
# - DOS at the Fermi energy: 0.45 states/eV/f.u.



No. 5
# AlZn2Hg (PBE, optimized geometry)
data_AlZn2Hg
_chemical_formula_sum 'Al1 Zn2 Hg1'
_cell_length_a 3.055
_cell_length_b 3.055
_cell_length_c 8.767
_cell_angle_alpha 81.20
_cell_angle_beta 81.20
_cell_angle_gamma 64.39
_space_group_name_H-M_alt 'P 1'
_space_group_IT_number 1
_space_group_name_Hall 'P 1'
loop_
_atom_site_label
_atom_site_fract_x
_atom_site_fract_y
_atom_site_fract_z
Al1 0.669 0.669 0.000
Hg1 0.498 0.498 0.500
Zn1 0.250 0.250 0.236
Zn2 0.083 0.083 0.764
# - Space-group type: Cm, No. 8
# - Crystal system: monoclinic
# - Offset from the most stable computed form: 1.5 kJ per mole of atoms
# - Energy of formation from the pure elements: 0.5 eV per formula unit
# - DOS at the Fermi energy: 1.34 states/eV/f.u.



No. 6
# Er3Au4 (PBE, optimized geometry)
data_Er3Au4
_chemical_formula_sum 'Er3 Au4'
_cell_length_a 4.935
_cell_length_b 4.935
_cell_length_c 8.631
_cell_angle_alpha 73.39
_cell_angle_beta 73.39
_cell_angle_gamma 60.00
_space_group_name_H-M_alt 'P 1'
_space_group_IT_number 1
_space_group_name_Hall 'P 1'
loop_
_atom_site_label
_atom_site_fract_x
_atom_site_fract_y
_atom_site_fract_z
Au1 0.120 0.120 0.639
Au2 0.880 0.880 0.361
Au3 0.366 0.366 0.901
Au4 0.634 0.634 0.099
Er1 0.000 0.000 0.000
Er2 0.241 0.241 0.276
Er3 0.759 0.759 0.724
# - Space-group type: R-3m, No. 166
# - Crystal system: trigonal
# - Energy of formation from the pure elements: -5.1 eV per formula unit
# - DOS at the Fermi energy: 4.62 states/eV/f.u.



DOS at the Fermi energy of number 4 (La2TeO3)? 0.45 states/eV/f.u.